Record 1
Below is crystalline ErCdIr at its relaxed geometry, with properties calculated at the PBE level.

Results
The final energy comes out at -5.213 eV/atom. Its energy of formation is -0.433 eV/atom. For the size of the total moment, the calculation gives 0.00 Bohr magnetons per cell.

Geometry as CIF:
```
data_ErCdIr
_cell_length_a 6.573
_cell_length_b 6.573
_cell_length_c 6.573
_cell_angle_alpha 90.00
_cell_angle_beta 90.00
_cell_angle_gamma 90.00
_symmetry_space_group_name_H-M 'F -4 3 m'
_symmetry_Int_Tables_number 216
_symmetry_space_group_name_Hall 'F -4 2 3'
loop_
_atom_site_label
_atom_site_fract_x
_atom_site_fract_y
_atom_site_fract_z
Er1 0.000 0.000 0.000
Cd1 0.000 0.000 0.500
Ir1 0.250 0.250 0.250
```

Record 2
Below is crystalline Er5CdIr at its relaxed geometry, with properties calculated at the PBE level.

Results
The final energy comes out at -4.929 eV/atom. Its energy of formation is -0.273 eV/atom. For the size of the total moment, the calculation gives 0.00 Bohr magnetons per cell.

Geometry as CIF:
```
data_Er5CdIr
_cell_length_a 9.065
_cell_length_b 7.395
_cell_length_c 11.773
_cell_angle_alpha 90.00
_cell_angle_beta 105.28
_cell_angle_gamma 90.00
_symmetry_space_group_name_H-M 'C 1 2/c 1'
_symmetry_Int_Tables_number 15
loop_
_symmetry_equiv_pos_as_xyz
'x,y,z'
'-x,-y,-z'
'-x,y,-z+1/2'
'x,-y,z+1/2'
'x+1/2,y+1/2,z'
'-x+1/2,-y+1/2,-z'
'-x+1/2,y+1/2,-z+1/2'
'x+1/2,-y+1/2,z+1/2'
loop_
_atom_site_label
_atom_site_fract_x
_atom_site_fract_y
_atom_site_fract_z
Er1 0.000 0.004 0.250
Er2 0.125 0.333 0.068
Er3 0.248 0.333 0.375
Cd1 0.000 0.404 0.750
Ir1 0.000 0.000 0.000
```

Record 3
Below is crystalline Er4CdIr3 at its relaxed geometry, with properties calculated at the PBE level.

Results
The final energy comes out at -6.437 eV/atom. Its energy of formation is -0.718 eV/atom. For the size of the total moment, the calculation gives 0.00 Bohr magnetons per cell.

Geometry as CIF:
```
data_Er4CdIr3
_cell_length_a 4.831
_cell_length_b 4.831
_cell_length_c 7.145
_cell_angle_alpha 90.00
_cell_angle_beta 90.00
_cell_angle_gamma 90.00
_symmetry_space_group_name_H-M 'P 4/m m m'
_symmetry_Int_Tables_number 123
_symmetry_space_group_name_Hall '-P 4 2'
loop_
_atom_site_label
_atom_site_fract_x
_atom_site_fract_y
_atom_site_fract_z
Er1 0.000 0.500 0.236
Cd1 0.000 0.000 0.500
Ir1 0.000 0.000 0.000
Ir2 0.500 0.500 0.000
Ir3 0.500 0.500 0.500
```

Record 4
Below is crystalline Er8CdIr2 at its relaxed geometry, with properties calculated at the PBE level.

Results
The final energy comes out at -5.423 eV/atom. Its energy of formation is -0.410 eV/atom. For the size of the total moment, the calculation gives 0.00 Bohr magnetons per cell.

Geometry as CIF:
```
data_Er8CdIr2
_cell_length_a 8.646
_cell_length_b 13.072
_cell_length_c 5.440
_cell_angle_alpha 90.00
_cell_angle_beta 103.44
_cell_angle_gamma 90.00
_symmetry_space_group_name_H-M 'C 1 2/m 1'
_symmetry_Int_Tables_number 12
loop_
_symmetry_equiv_pos_as_xyz
'x,y,z'
'-x,-y,-z'
'-x,y,-z'
'x,-y,z'
'x+1/2,y+1/2,z'
'-x+1/2,-y+1/2,-z'
'-x+1/2,y+1/2,-z'
'x+1/2,-y+1/2,z'
loop_
_atom_site_label
_atom_site_fract_x
_atom_site_fract_y
_atom_site_fract_z
Er1 0.000 0.248 0.000
Er2 0.117 0.500 0.801
Er3 0.199 0.131 0.581
Cd1 0.000 0.000 0.000
Ir1 0.000 0.311 0.500
```

Record 5
Below is crystalline Er8Cd2Ir at its relaxed geometry, with properties calculated at the PBE level.

Results
The final energy comes out at -4.576 eV/atom. Its energy of formation is -0.286 eV/atom. For the size of the total moment, the calculation gives 0.00 Bohr magnetons per cell.

Geometry as CIF:
```
data_Er8Cd2Ir
_cell_length_a 17.527
_cell_length_b 5.248
_cell_length_c 6.891
_cell_angle_alpha 90.00
_cell_angle_beta 110.09
_cell_angle_gamma 90.00
_symmetry_space_group_name_H-M 'C 1 2/m 1'
_symmetry_Int_Tables_number 12
loop_
_symmetry_equiv_pos_as_xyz
'x,y,z'
'-x,-y,-z'
'-x,y,-z'
'x,-y,z'
'x+1/2,y+1/2,z'
'-x+1/2,-y+1/2,-z'
'-x+1/2,y+1/2,-z'
'x+1/2,-y+1/2,z'
loop_
_atom_site_label
_atom_site_fract_x
_atom_site_fract_y
_atom_site_fract_z
Er1 0.020 0.000 0.287
Er2 0.092 0.500 0.924
Er3 0.152 0.500 0.454
Er4 0.199 0.000 0.793
Cd1 0.181 0.000 0.208
Ir1 0.000 0.500 0.500
```

Record 6
Below is crystalline LaErCdIr at its relaxed geometry, with properties calculated at the PBE level.

Results
The final energy comes out at -5.289 eV/atom. Its energy of formation is -0.472 eV/atom. For the size of the total moment, the calculation gives 0.00 Bohr magnetons per cell.

Geometry as CIF:
```
data_LaErCdIr
_cell_length_a 7.287
_cell_length_b 7.287
_cell_length_c 7.287
_cell_angle_alpha 90.00
_cell_angle_beta 90.00
_cell_angle_gamma 90.00
_symmetry_space_group_name_H-M 'F -4 3 m'
_symmetry_Int_Tables_number 216
_symmetry_space_group_name_Hall 'F -4 2 3'
loop_
_atom_site_label
_atom_site_fract_x
_atom_site_fract_y
_atom_site_fract_z
La1 0.000 0.000 0.000
Er1 0.000 0.000 0.500
Cd1 0.250 0.250 0.750
Ir1 0.250 0.250 0.250
```

Record 7
Below is crystalline ErCdNiIr at its relaxed geometry, with properties calculated at the PBE level.

Results
The final energy comes out at -5.354 eV/atom. Its energy of formation is -0.324 eV/atom. For the size of the total moment, the calculation gives 0.00 Bohr magnetons per cell.

Geometry as CIF:
```
data_ErCdNiIr
_cell_length_a 6.571
_cell_length_b 6.571
_cell_length_c 6.571
_cell_angle_alpha 90.00
_cell_angle_beta 90.00
_cell_angle_gamma 90.00
_symmetry_space_group_name_H-M 'F -4 3 m'
_symmetry_Int_Tables_number 216
_symmetry_space_group_name_Hall 'F -4 2 3'
loop_
_atom_site_label
_atom_site_fract_x
_atom_site_fract_y
_atom_site_fract_z
Er1 0.000 0.000 0.000
Cd1 0.000 0.000 0.500
Ni1 0.250 0.250 0.250
Ir1 0.250 0.250 0.750
```

Record 8
Below is crystalline ErCd2IrO6 at its relaxed geometry, with properties calculated at the PBE level.

Results
The final energy comes out at -6.031 eV/atom. Its uncorrected formation energy is -1531 meV per atom. For the size of the total moment, the calculation gives 6.04 Bohr magnetons per cell.

Geometry as CIF:
```
data_ErCd2IrO6
_cell_length_a 5.6380
_cell_length_b 5.6380
_cell_length_c 14.3623
_cell_angle_alpha 90.00
_cell_angle_beta 90.00
_cell_angle_gamma 120.00
_symmetry_space_group_name_H-M 'R 3'
_symmetry_Int_Tables_number 146
_symmetry_space_group_name_Hall 'R 3'
loop_
_atom_site_label
_atom_site_fract_x
_atom_site_fract_y
_atom_site_fract_z
Er1 0.0000 0.0000 0.0000
Cd1 0.0000 0.0000 0.2680
Cd2 0.0000 0.0000 0.7719
Ir1 0.0000 0.0000 0.4962
O1 0.0159 0.4013 0.2380
O2 0.0736 0.7078 0.0801
```

Please write out number 5 again, unchanged.
Below is crystalline Er8Cd2Ir at its relaxed geometry, with properties calculated at the PBE level.

Results
The final energy comes out at -4.576 eV/atom. Its energy of formation is -0.286 eV/atom. For the size of the total moment, the calculation gives 0.00 Bohr magnetons per cell.

Geometry as CIF:
```
data_Er8Cd2Ir
_cell_length_a 17.527
_cell_length_b 5.248
_cell_length_c 6.891
_cell_angle_alpha 90.00
_cell_angle_beta 110.09
_cell_angle_gamma 90.00
_symmetry_space_group_name_H-M 'C 1 2/m 1'
_symmetry_Int_Tables_number 12
loop_
_symmetry_equiv_pos_as_xyz
'x,y,z'
'-x,-y,-z'
'-x,y,-z'
'x,-y,z'
'x+1/2,y+1/2,z'
'-x+1/2,-y+1/2,-z'
'-x+1/2,y+1/2,-z'
'x+1/2,-y+1/2,z'
loop_
_atom_site_label
_atom_site_fract_x
_atom_site_fract_y
_atom_site_fract_z
Er1 0.020 0.000 0.287
Er2 0.092 0.500 0.924
Er3 0.152 0.500 0.454
Er4 0.199 0.000 0.793
Cd1 0.181 0.000 0.208
Ir1 0.000 0.500 0.500
```